No. 1
# PBE CdHgW2, optimized geometry
# Energy above the most stable polymorph in this dataset (kJ/mol of formula units): 108
# V (A^3/atom): 18.18
# N(E_F) (states/eV/cell): 2.92
# Formation energy (eV/atom): 0.711
# Space-group type: Cm, No. 8
data_CdHgW2
_cell_length_a 9.719
_cell_length_b 2.789
_cell_length_c 5.389
_cell_angle_alpha 90.00
_cell_angle_beta 95.24
_cell_angle_gamma 90.00
_space_group_name_H-M_alt 'P 1'
_space_group_IT_number 1
loop_
_space_group_symop_operation_xyz
'x,y,z'
loop_
_atom_site_label
_atom_site_fract_x
_atom_site_fract_y
_atom_site_fract_z
Cd1 0.000 0.000 0.000
Cd2 0.500 0.500 0.000
Hg1 0.247 0.000 0.774
Hg2 0.747 0.500 0.774
W1 0.001 0.500 0.482
W2 0.249 0.500 0.287
W3 0.501 0.000 0.482
W4 0.749 0.000 0.287

No. 2
# PBE Pm2SmDyAs4, optimized geometry
# V (A^3/atom): 26.26
# N(E_F) (states/eV/cell): 0.75
# Formation energy (eV/atom): -1.527
# Space-group type: P2/m, No. 10
data_Pm2SmDyAs4
_cell_length_a 7.278
_cell_length_b 4.206
_cell_length_c 7.279
_cell_angle_alpha 90.00
_cell_angle_beta 109.47
_cell_angle_gamma 90.00
_space_group_name_H-M_alt 'P 1'
_space_group_IT_number 1
loop_
_space_group_symop_operation_xyz
'x,y,z'
loop_
_atom_site_label
_atom_site_fract_x
_atom_site_fract_y
_atom_site_fract_z
Pm1 0.000 0.000 0.000
Pm2 0.000 0.500 0.500
Sm1 0.500 0.000 0.500
Dy1 0.500 0.500 0.000
As1 0.253 0.500 0.248
As2 0.255 0.000 0.754
As3 0.745 0.000 0.246
As4 0.747 0.500 0.752

No. 3
# PBE TbAl4Ga, optimized geometry
# Energy above the most stable polymorph in this dataset (kJ/mol of formula units): 43
# V (A^3/atom): 19.62
# N(E_F) (states/eV/cell): 3.99
# Formation energy (eV/atom): -0.183
# Space-group type: F-43m, No. 216
data_TbAl4Ga
_cell_length_a 5.501
_cell_length_b 5.501
_cell_length_c 5.501
_cell_angle_alpha 60.00
_cell_angle_beta 60.00
_cell_angle_gamma 60.00
_space_group_name_H-M_alt 'P 1'
_space_group_IT_number 1
loop_
_space_group_symop_operation_xyz
'x,y,z'
loop_
_atom_site_label
_atom_site_fract_x
_atom_site_fract_y
_atom_site_fract_z
Tb1 0.000 0.000 0.000
Al1 0.124 0.625 0.625
Al2 0.625 0.124 0.625
Al3 0.625 0.625 0.124
Al4 0.625 0.625 0.625
Ga1 0.250 0.250 0.250

No. 4
# PBE Te2IrSe, optimized geometry
# V (A^3/atom): 24.45
# N(E_F) (states/eV/cell): 4.71
# Energy relative to the elements, uncorrected (eV/atom): 0.185
# Space-group type: Immm, No. 71
data_Te2IrSe
_cell_length_a 3.642
_cell_length_b 4.485
_cell_length_c 11.976
_cell_angle_alpha 90.00
_cell_angle_beta 90.00
_cell_angle_gamma 90.00
_space_group_name_H-M_alt 'P 1'
_space_group_IT_number 1
loop_
_space_group_symop_operation_xyz
'x,y,z'
loop_
_atom_site_label
_atom_site_fract_x
_atom_site_fract_y
_atom_site_fract_z
Te1 0.000 0.000 0.165
Te2 0.000 0.000 0.835
Te3 0.500 0.500 0.335
Te4 0.500 0.500 0.665
Ir1 0.000 0.500 0.500
Ir2 0.500 0.000 0.000
Se1 0.000 0.500 0.000
Se2 0.500 0.000 0.500

No. 5
# PBE BaAsSe2, optimized geometry
# V (A^3/atom): 36.87
# N(E_F) (states/eV/cell): 3.12
# Energy relative to the elements, uncorrected (eV/atom): -0.522
# Space-group type: Cmmm, No. 65
data_BaAsSe2
_cell_length_a 4.238
_cell_length_b 8.652
_cell_length_c 8.042
_cell_angle_alpha 90.00
_cell_angle_beta 90.00
_cell_angle_gamma 90.00
_space_group_name_H-M_alt 'P 1'
_space_group_IT_number 1
loop_
_space_group_symop_operation_xyz
'x,y,z'
loop_
_atom_site_label
_atom_site_fract_x
_atom_site_fract_y
_atom_site_fract_z
Ba1 0.000 0.000 0.000
Ba2 0.500 0.500 0.000
As1 0.000 0.000 0.500
As2 0.500 0.500 0.500
Se1 0.000 0.500 0.286
Se2 0.000 0.500 0.714
Se3 0.500 0.000 0.286
Se4 0.500 0.000 0.714

No. 6
# PBE CsRb2PbAu, optimized geometry
# Energy above the most stable polymorph in this dataset (kJ/mol of formula units): 53
# V (A^3/atom): 57.53
# N(E_F) (states/eV/cell): 3.15
# Formation energy (eV/atom): 0.015
# Space-group type: P4/mmm, No. 123
data_CsRb2PbAu
_cell_length_a 7.152
_cell_length_b 7.152
_cell_length_c 5.623
_cell_angle_alpha 90.00
_cell_angle_beta 90.00
_cell_angle_gamma 90.00
_space_group_name_H-M_alt 'P 1'
_space_group_IT_number 1
loop_
_space_group_symop_operation_xyz
'x,y,z'
loop_
_atom_site_label
_atom_site_fract_x
_atom_site_fract_y
_atom_site_fract_z
Cs1 0.000 0.000 0.000
Rb1 0.000 0.500 0.500
Rb2 0.500 0.000 0.500
Pb1 0.500 0.500 0.500
Au1 0.500 0.500 0.000

Q: Which value of V does entry 2 give?
A: 26.26 A^3/atom

Q: The lowest V belongs to which entry?
A: CdHgW2

Q: V of number 3 (TbAl4Ga)?
A: 19.62 A^3/atom

Q: Among the records above, which one has the highest V?
A: CsRb2PbAu